(1)
Ca3AcSm2Te6 after structural relaxation. Source: the Alexandria database, functional PBE.

Cell and atoms, written as POSCAR:
```
Ca3AcSm2Te6
1.0
3.8926 -6.7357 0.0000
3.8926 6.7357 0.0000
-2.6047 0.0000 7.4947
Ca Ac Sm Te
3 1 2 6
Direct
0.0000 0.0000 0.0000
0.3375 0.6625 0.0000
0.6625 0.3375 0.0000
0.5000 0.5000 0.5000
0.1671 0.8329 0.5000
0.8329 0.1671 0.5000
0.0696 0.4140 0.2423
0.2407 0.2407 0.7553
0.4140 0.0696 0.2423
0.5860 0.9304 0.7577
0.7593 0.7593 0.2447
0.9304 0.5860 0.7577
```

Computed properties:
The calculation puts the calculated total energy at -56.47 eV per cell. For the density of states at the Fermi level, the calculation gives 5.247 states/eV per cell. As for the raw formation energy: -1.506 eV per atom.

***

(2)
Cd15In4Hg after structural relaxation. Source: the Alexandria database, functional PBE.

Cell and atoms, written as POSCAR:
```
Cd15In4Hg
1.0
4.5875 0.0000 0.0000
0.0000 4.5875 0.0000
0.0000 0.0000 22.2812
Cd In Hg
15 4 1
Direct
0.0000 0.0000 0.0000
0.0000 0.0000 0.1984
0.0000 0.0000 0.4003
0.0000 0.0000 0.5997
0.0000 0.0000 0.8016
0.0000 0.5000 0.0981
0.0000 0.5000 0.2998
0.0000 0.5000 0.5000
0.0000 0.5000 0.7002
0.0000 0.5000 0.9019
0.5000 0.0000 0.0981
0.5000 0.0000 0.2998
0.5000 0.0000 0.5000
0.5000 0.0000 0.7002
0.5000 0.0000 0.9019
0.5000 0.5000 0.1986
0.5000 0.5000 0.4000
0.5000 0.5000 0.6000
0.5000 0.5000 0.8014
0.5000 0.5000 0.0000
```

Computed properties:
The formation energy is 0.0316 eV per atom. The calculation puts the calculated total energy at -24.35 eV per cell. For the density of states at the Fermi level, the calculation gives 7.014 states/eV per cell.

***

(3)
YMgZn2 after structural relaxation. Source: the Alexandria database, functional PBE.

Cell and atoms, written as POSCAR:
```
YMgZn2
1.0
1.7842 1.0301 8.3431
-1.7842 1.0301 8.3431
0.0000 -2.0602 8.3431
Y Mg Zn
1 1 2
Direct
0.0000 0.0000 0.0000
0.5000 0.5000 0.5000
0.2453 0.2453 0.2453
0.7547 0.7547 0.7547
```

Computed properties:
The formation energy is -0.0187 eV per atom. The calculation puts the calculated total energy at -10.68 eV per cell. For the density of states at the Fermi level, the calculation gives 2.195 states/eV per cell.

***

(4)
Sr6As2N after structural relaxation. Source: the Alexandria database, functional PBE.

Cell and atoms, written as POSCAR:
```
Sr6As2N
1.0
7.1160 0.0000 0.0000
0.0000 8.2290 0.0000
-6.9242 0.0000 10.1257
Sr As N
12 4 2
Direct
0.1186 0.0372 0.2405
0.1186 0.4628 0.7405
0.2126 0.7092 0.0580
0.2126 0.7908 0.5580
0.3647 0.1584 0.0607
0.3647 0.3416 0.5607
0.6353 0.6584 0.4393
0.6353 0.8416 0.9393
0.7874 0.2092 0.4420
0.7874 0.2908 0.9420
0.8814 0.5372 0.2595
0.8814 0.9628 0.7595
0.2949 0.1083 0.7451
0.2949 0.3917 0.2451
0.7051 0.6083 0.7549
0.7051 0.8917 0.2549
0.0000 0.0000 0.0000
0.0000 0.5000 0.5000
```

Computed properties:
The calculation puts the calculated total energy at -69.42 eV per cell. For the density of states at the Fermi level, the calculation gives 4.041 states/eV per cell. As for the raw formation energy: -0.777 eV per atom.

***

(5)
Li3NbCd after structural relaxation. Source: the Alexandria database, functional PBE.

Cell and atoms, written as POSCAR:
```
Li3NbCd
1.0
4.5896 0.0000 0.0000
0.0000 4.5896 0.0000
0.0000 0.0000 4.5896
Li Nb Cd
3 1 1
Direct
0.0000 0.0000 0.5000
0.0000 0.5000 0.0000
0.5000 0.0000 0.0000
0.5000 0.5000 0.5000
0.0000 0.0000 0.0000
```

Computed properties:
The formation energy is 0.9062 eV per atom. The calculation puts the calculated total energy at -12.20 eV per cell. As for the excess energy over the best structure of this formula in the dataset: 0.0 meV/atom. For the density of states at the Fermi level, the calculation gives 4.613 states/eV per cell.

***

(6)
Tb2PmHg after structural relaxation. Source: the Alexandria database, functional PBE.

Cell and atoms, written as POSCAR:
```
Tb2PmHg
1.0
3.6554 0.0000 0.0000
0.0000 3.6554 0.0000
0.0000 0.0000 8.8905
Tb Pm Hg
2 1 1
Direct
0.0000 0.0000 0.2186
0.0000 0.0000 0.7814
0.5000 0.5000 0.5000
0.5000 0.5000 0.0000
```

Computed properties:
The formation energy is -0.2312 eV per atom. The calculation puts the calculated total energy at -15.24 eV per cell. As for the excess energy over the best structure of this formula in the dataset: 0.0 meV/atom. For the density of states at the Fermi level, the calculation gives 4.843 states/eV per cell.

***

(7)
LaGaAs2 after structural relaxation. Source: the Alexandria database, functional PBE.

Cell and atoms, written as POSCAR:
```
LaGaAs2
1.0
2.3913 1.3806 7.3071
-2.3913 1.3806 7.3071
0.0000 -2.7612 7.3071
La Ga As
1 1 2
Direct
0.0000 0.0000 0.0000
0.5000 0.5000 0.5000
0.3959 0.3959 0.3959
0.6041 0.6041 0.6041
```

Computed properties:
The formation energy is -0.5202 eV per atom. The calculation puts the calculated total energy at -19.33 eV per cell.

***

(8)
ZrTcSe2 after structural relaxation. Source: the Alexandria database, functional PBE.

Cell and atoms, written as POSCAR:
```
ZrTcSe2
1.0
-1.8778 1.8778 5.2003
1.8778 -1.8778 5.2003
1.8778 1.8778 -5.2003
Zr Tc Se
1 1 2
Direct
0.0000 0.0000 0.0000
0.7500 0.2500 0.5000
0.2500 0.7500 0.5000
0.5000 0.5000 0.0000
```

Computed properties:
The calculation puts the calculated total energy at -26.57 eV per cell. As for the excess energy over the best structure of this formula in the dataset: 455.0 meV/atom. For the density of states at the Fermi level, the calculation gives 3.827 states/eV per cell. As for the raw formation energy: -0.171 eV per atom.